# 1
Density functional theory data (GGA-PBE) for a relaxed SrAlPt2 crystal.

Calculated values
The density of states at the Fermi level comes out at 0.290 states/eV/atom. For the formation energy from the elements, the calculation gives -0.51 eV per atom.

Geometry as POSCAR:
```
SrAlPt2
1.0
-1.574 2.410 5.206
1.574 -2.410 5.206
1.574 2.410 -5.206
Sr Al Pt
1 1 2
direct
0.000 0.000 0.000
0.285 0.785 0.500
0.476 0.476 0.000
0.719 0.219 0.500
```

***

# 2
Density functional theory data (GGA-PBE) for a relaxed AcPm4Y crystal.

Calculated values
The density of states at the Fermi level comes out at 1.548 states/eV/atom. The offset from the most stable computed form comes out at 0.000 eV per atom. For the formation energy from the elements, the calculation gives 0.03 eV per atom.

Geometry as POSCAR:
```
AcPm4Y
1.0
3.725 0.000 0.000
0.000 5.161 0.000
0.000 0.000 11.146
Ac Pm Y
1 4 1
direct
0.000 0.000 0.000
0.000 0.000 0.338
0.000 0.000 0.662
0.500 0.500 0.177
0.500 0.500 0.823
0.500 0.500 0.500
```

***

no.,calculated volume (Å³/cell)
1,79.0
2,214.3